VASP calculation (PBE-GGA) on a relaxed ZrTiCd3 crystal.

Values from the calculation:
- Theoretical density: 6.1 g cm⁻³
- V: 26.1 A^3/atom
- Offset from the most stable computed form: 85.47 kJ/mol of atoms
- Calculated total energy: -14.67 eV per cell
- Energy of formation from the pure elements: 0.904 eV/atom

Geometry as POSCAR:
```
ZrTiCd3
1.0
-2.726 3.942 -1.661
-3.192 -0.563 3.902
2.848 3.142 2.783
Ti Zr Cd
1 1 3
Direct
0.000 0.000 0.000
0.500 0.500 0.500
0.000 0.500 0.000
0.000 0.000 0.500
0.500 0.000 0.000
```


VASP calculation (PBE-GGA) on a relaxed CsCu4Te2 crystal.

Values from the calculation:
- Theoretical density: 6.5 g cm⁻³
- Raw formation energy: -0.179 eV per atom
- V: 23.3 A^3/atom
- Calculated total energy: -24.78 eV per cell

Geometry as POSCAR:
```
CsCu4Te2
1.0
-1.390 3.810 -1.938
-3.086 -0.288 -2.630
-4.822 4.340 8.386
Cs Te Cu
1 2 4
Direct
0.000 0.000 0.000
0.821 0.445 0.721
0.179 0.555 0.279
0.503 0.057 0.622
0.173 0.682 0.538
0.497 0.943 0.378
0.827 0.318 0.462
```


VASP calculation (PBE-GGA) on a relaxed Rb2TlHAu crystal.

Values from the calculation:
- Theoretical density: 6.0 g cm⁻³
- V: 31.7 A^3/atom
- Offset from the most stable computed form: 0.00 kJ/mol of atoms
- Calculated total energy: -11.12 eV per cell

Geometry as POSCAR:
```
Rb2TlHAu
1.0
6.501 0.000 0.000
0.000 6.501 0.000
0.000 0.000 3.748
H Tl Au Rb
1 1 1 2
Direct
0.000 0.000 0.000
0.500 0.500 0.500
0.000 0.000 0.500
0.000 0.500 0.000
0.500 0.000 0.000
```


VASP calculation (PBE-GGA) on a relaxed Ac3Cd9Ni2 crystal.

Values from the calculation:
- Theoretical density: 8.6 g cm⁻³
- V: 24.9 A^3/atom
- Calculated total energy: -34.93 eV per cell
- Energy of formation from the pure elements: -0.200 eV/atom

Geometry as POSCAR:
```
Ac3Cd9Ni2
1.0
-1.200 2.020 4.500
7.334 -0.010 4.825
3.134 8.201 0.018
Ac Cd Ni
3 9 2
Direct
0.000 0.000 0.000
0.697 0.303 0.303
0.303 0.697 0.697
0.000 0.500 0.500
0.637 0.009 0.717
0.363 0.991 0.283
0.637 0.717 0.009
0.363 0.283 0.991
0.867 0.849 0.416
0.133 0.151 0.584
0.867 0.416 0.849
0.133 0.584 0.151
0.500 0.360 0.640
0.500 0.640 0.360
```